# Na5Au2O

Na5Au2O after structural relaxation (PBE, the Alexandria database).

Properties
- Energy relative to the elements, uncorrected: -4.65 eV/f.u.
- Magnetic moment: 0.0000 μB per atom
- Volume: 724.9 Å³/cell
- Space group: Pnma (62)
- Calculated density: 4809 kg/m³

extended XYZ file:
```
32
Lattice="8.3510 0.0000 0.0000 0.0000 6.5276 0.0000 0.0000 0.0000 13.2985" Properties=species:S:1:pos:R:3 pbc="T T T"
Na 0.0000 0.0000 0.0000
Na 0.0000 3.2638 0.0000
Na 0.1981 1.6319 2.6563
Na 1.4118 0.0031 8.1842
Na 1.4118 3.2607 8.1842
Na 1.7932 4.8957 5.3683
Na 2.3822 1.6319 12.0176
Na 2.7637 6.5245 1.5349
Na 2.7637 3.2669 1.5349
Na 3.9774 4.8957 9.3056
Na 4.1755 0.0000 6.6493
Na 4.1755 3.2638 6.6493
Na 4.3735 1.6319 3.9930
Na 5.5873 0.0031 11.7637
Na 5.5873 3.2607 11.7637
Na 5.9687 4.8957 1.2810
Na 6.5577 1.6319 7.9302
Na 6.9391 6.5245 5.1144
Na 6.9391 3.2669 5.1144
Na 8.1529 4.8957 10.6423
Au 0.2051 4.8957 2.8947
Au 1.3952 1.6319 5.4624
Au 2.7803 4.8957 12.1116
Au 3.9704 1.6319 9.5439
Au 4.3806 4.8957 3.7546
Au 5.5707 1.6319 1.1869
Au 6.9558 4.8957 7.8362
Au 8.1459 1.6319 10.4039
O 1.4090 1.6319 0.7716
O 2.7665 4.8957 7.4209
O 5.5845 1.6319 5.8777
O 6.9420 4.8957 12.5269
```